# 1
Computed, not measured: a relaxed PRh2 crystal at the PBE-GGA level of DFT.

It has space group C2/m (No. 12), with a = 10.472 Å, b = 3.126 Å, c = 5.289 Å, α = 90.00°, β = 102.55° and γ = 90.00°. The inequivalent atoms are P at (0.152, 0.000, 0.098), Rh at (0.036, 0.500, 0.267) and Rh at (0.190, 0.000, 0.688).

Its crystal system is monoclinic.

# 2
Computed, not measured: a relaxed Tb3YPd crystal at the PBE-GGA level of DFT.

It has space group C2/m (No. 12), with a = 17.509 Å, b = 5.210 Å, c = 6.311 Å, α = 90.00°, β = 96.64° and γ = 90.00°. The inequivalent atoms are Tb at (0.039, 0.000, 0.272), Tb at (0.182, 0.500, 0.398), Tb at (0.206, 0.000, 0.065), Y at (0.090, 0.500, 0.858) and Pd at (0.148, 0.000, 0.630).

Its crystal system is monoclinic.

# 3
Computed, not measured: a relaxed CsK4Rb8 crystal at the PBE-GGA level of DFT.

It has space group C2/m (No. 12), with a = 16.383 Å, b = 9.431 Å, c = 16.542 Å, α = 90.00°, β = 109.36° and γ = 90.00°. The inequivalent atoms are Cs at (0.000, 0.000, 0.000), K at (0.000, 0.000, 0.500), K at (0.000, 0.500, 0.500), K at (0.250, 0.250, 0.500), Rb at (0.004, 0.255, 0.753), Rb at (0.188, 0.500, 0.067) and Rb at (0.249, 0.500, 0.753).

Its crystal system is monoclinic.

# 4
Computed, not measured: a relaxed TcAs2P crystal at the PBE-GGA level of DFT.

It has space group Cmmm (No. 65), with a = 3.024 Å, b = 4.860 Å, c = 9.167 Å, α = 90.00°, β = 90.00° and γ = 90.00°. The inequivalent atoms are Tc at (0.000, 0.000, 0.000), As at (0.000, 0.500, 0.225) and P at (0.000, 0.000, 0.500).

Its crystal system is orthorhombic.

Asked for E_tot across the records above, the calculation gives -7.108 -5.373 -0.951 -5.786 eV per atom in order.
Asked for formation energy across the records above, the calculation gives -0.40 -0.26 0.05 0.48 eV/atom in order.